(1)
Density functional theory data (meta-GGA SCAN) for a crystal of KSc2Ta relaxed with PBEsol.

Calculated values
The calculation puts the total DFT energy (no corrections) at -100.52 eV for the cell shown. Its magnetization is 0.0 μB per formula unit. For the formation energy, the calculation gives 0.717 eV per atom. The energy relative to the lowest polymorph listed for this composition comes out at 130 meV/atom.

Cell lengths 3.1784, 4.1041, 8.6452 Å; angles 90.00, 90.00, 90.00 degrees
Closest atoms and distances in Å follow each position.
Space group Pmm2 (No. 25)
Inequivalent atoms, fractional coordinates:
K1 0.0000 0.0000 0.0000 x1  2 K 3.18
Sc1 0.0000 0.0000 0.5558 x1  4 Ta 2.85, 6 Sc 3.10-3.18
Sc2 0.5000 0.5000 0.3596 x1  1 Ta 2.86, 6 Sc 3.10-3.18
Ta1 0.5000 0.5000 0.6909 x1  5 Sc 2.85-2.86, 2 Ta 3.18

=====

(2)
Density functional theory data (meta-GGA SCAN) for a crystal of KSc2Ta relaxed with PBEsol.

Calculated values
The calculation puts the total DFT energy (no corrections) at -201.22 eV for the cell shown. Its magnetization is 1.4 μB per formula unit. For the formation energy, the calculation gives 0.694 eV per atom. The energy relative to the lowest polymorph listed for this composition comes out at 108 meV/atom.

Cell lengths 9.3489, 2.9876, 7.8747 Å; angles 90.00, 94.25, 90.00 degrees
Closest atoms and distances in Å follow each position.
Space group C2/m (No. 12)
Inequivalent atoms, fractional coordinates:
K1 0.0000 0.0000 0.0000 x2  2 K 2.99
Sc1 0.2320 0.0000 0.6685 x4  3 Ta 2.88-2.92, 4 Sc 2.99-3.09
Ta1 0.0000 0.5000 0.5000 x2  6 Sc 2.88-2.92, 2 Ta 2.99

=====

(3)
Density functional theory data (meta-GGA SCAN) for a crystal of KSc2Ta relaxed with PBEsol.

Calculated values
The calculation puts the total DFT energy (no corrections) at -101.04 eV for the cell shown. Its magnetization is 0.0 μB per formula unit. For the formation energy, the calculation gives 0.586 eV per atom. The energy relative to the lowest polymorph listed for this composition comes out at 0 meV/atom.

Cell lengths 2.9958, 2.9958, 11.3599 Å; angles 90.00, 90.00, 90.00 degrees
Closest atoms and distances in Å follow each position.
Space group P4mm (No. 99)
Inequivalent atoms, fractional coordinates:
K1 0.0000 0.0000 0.0000 x1  4 K 3.00
Sc1 0.0000 0.0000 0.5369 x1  4 Ta 2.94, 4 Sc 3.00
Sc2 0.5000 0.5000 0.3055 x1  4 Sc 3.00
Ta1 0.5000 0.5000 0.7162 x1  4 Sc 2.94, 4 Ta 3.00

=====

(4)
Density functional theory data (meta-GGA SCAN) for a crystal of KSc4Ta relaxed with PBEsol.

Calculated values
The calculation puts the total DFT energy (no corrections) at -504.22 eV for the cell shown. Its magnetization is 1.6 μB per formula unit. For the formation energy, the calculation gives 0.967 eV per atom.

Cell lengths 8.4160, 8.4160, 8.4160 Å; angles 90.00, 90.00, 90.00 degrees
Closest atoms and distances in Å follow each position.
Space group F-43m (No. 216)
Inequivalent atoms, fractional coordinates:
K1 0.0000 0.0000 0.0000 x4  12 Sc 3.50, 4 Ta 3.64
Sc1 0.1201 0.1201 0.3799 x16  6 Sc 2.86-3.09
Ta1 0.2500 0.2500 0.7500 x4  12 Sc 3.48, 4 K 3.64

=====

(5)
Density functional theory data (meta-GGA SCAN) for a crystal of KSc2Ta relaxed with PBEsol.

Calculated values
The calculation puts the total DFT energy (no corrections) at -201.19 eV for the cell shown. Its magnetization is 0.0 μB per formula unit. For the formation energy, the calculation gives 0.698 eV per atom. The energy relative to the lowest polymorph listed for this composition comes out at 112 meV/atom.

Cell lengths 10.0567, 2.9583, 7.7093 Å; angles 90.00, 92.50, 90.00 degrees
Closest atoms and distances in Å follow each position.
Space group Cm (No. 8)
Inequivalent atoms, fractional coordinates:
K1 0.0000 0.0000 0.0000 x2  2 K 2.96
Sc1 0.2397 0.0000 0.6457 x2  2 Ta 2.82, 3 Sc 2.96-3.00
Sc2 0.4914 0.0000 0.4503 x2  3 Ta 2.85-2.89, 3 Sc 2.96-3.00
Ta1 0.2572 0.5000 0.3357 x2  5 Sc 2.82-2.89, 2 Ta 2.96

=====

(6)
Density functional theory data (meta-GGA SCAN) for a crystal of KScTc2 relaxed with PBEsol.

Calculated values
The calculation puts the total DFT energy (no corrections) at -180.17 eV for the cell shown. Its magnetization is 0.0 μB per formula unit. For the formation energy, the calculation gives 0.650 eV per atom. The energy relative to the lowest polymorph listed for this composition comes out at 168 meV/atom.

Cell lengths 3.1760, 4.7062, 10.5299 Å; angles 90.00, 90.00, 90.00 degrees
Closest atoms and distances in Å follow each position.
Space group Cmm2 (No. 35)
Inequivalent atoms, fractional coordinates:
K1 0.0000 0.0000 0.0000 x2  6 K 2.84-3.18
Sc1 0.0000 0.5000 0.3360 x2  2 Tc 2.68, 4 Sc 2.84
Tc1 0.0000 0.0000 0.5409 x2  2 Tc 2.50, 2 Sc 2.68
Tc2 0.0000 0.5000 0.7245 x2  2 Tc 2.50

=====

(7)
Density functional theory data (meta-GGA SCAN) for a crystal of K2ScTc relaxed with PBEsol.

Calculated values
The calculation puts the total DFT energy (no corrections) at -240.01 eV for the cell shown. Its magnetization is 1.8 μB per formula unit. For the formation energy, the calculation gives 1.488 eV per atom. The energy relative to the lowest polymorph listed for this composition comes out at 614 meV/atom.

Cell lengths 7.7849, 7.7849, 7.7849 Å; angles 90.00, 90.00, 90.00 degrees
Closest atoms and distances in Å follow each position.
Space group Fm-3m (No. 225)
Inequivalent atoms, fractional coordinates:
K1 0.2500 0.2500 0.2500 x8  4 Tc 3.37, 4 Sc 3.37
Sc1 0.0000 0.0000 0.0000 x4  8 K 3.37
Tc1 0.0000 0.0000 0.5000 x4  8 K 3.37

=====

(8)
Density functional theory data (meta-GGA SCAN) for a crystal of KSc2Tc relaxed with PBEsol.

Calculated values
The calculation puts the total DFT energy (no corrections) at -212.66 eV for the cell shown. Its magnetization is 0.0 μB per formula unit. For the formation energy, the calculation gives 0.244 eV per atom.

Cell lengths 3.3085, 3.3085, 31.9493 Å; angles 90.00, 90.00, 120.00 degrees
Closest atoms and distances in Å follow each position.
Space group R-3m (No. 166, hexagonal axes)
Inequivalent atoms, fractional coordinates:
K1 0.0000 0.0000 0.0000 x3  6 K 3.31
Sc1 0.0000 0.0000 0.2242 x6  3 Tc 2.65
Tc1 0.0000 0.0000 0.5000 x3  6 Sc 2.65

=====

(9)
Density functional theory data (meta-GGA SCAN) for a crystal of KSc2Tc relaxed with PBEsol.

Calculated values
The calculation puts the total DFT energy (no corrections) at -140.65 eV for the cell shown. Its magnetization is 0.0 μB per formula unit. For the formation energy, the calculation gives 0.384 eV per atom.

Cell lengths 3.2350, 4.2444, 17.0354 Å; angles 90.00, 90.00, 90.00 degrees
Closest atoms and distances in Å follow each position.
Space group Imm2 (No. 44)
Inequivalent atoms, fractional coordinates:
K1 0.0000 0.0000 0.0000 x2  2 K 3.24
Sc1 0.0000 0.0000 0.6913 x2  2 Tc 2.55
Sc2 0.0000 0.5000 0.8255 x2  4 Tc 2.69
Tc1 0.0000 0.5000 0.3068 x2  6 Sc 2.55-2.69

=====

(10)
Density functional theory data (meta-GGA SCAN) for a crystal of KSc2Tc relaxed with PBEsol.

Calculated values
The calculation puts the total DFT energy (no corrections) at -138.80 eV for the cell shown. Its magnetization is 0.0 μB per formula unit. For the formation energy, the calculation gives 0.616 eV per atom.

Cell lengths 4.3150, 5.4505, 7.2177 Å; angles 90.00, 90.00, 90.00 degrees
Closest atoms and distances in Å follow each position.
Space group Immm (No. 71)
Inequivalent atoms, fractional coordinates:
K1 0.0000 0.0000 0.0000 x2  8 Sc 2.97-3.15
Sc1 0.0000 0.5000 0.2181 x4  2 Tc 2.67, 2 K 2.97
Tc1 0.0000 0.0000 0.5000 x2  4 Sc 2.67

=====

(11)
Density functional theory data (meta-GGA SCAN) for a crystal of KScTc2 relaxed with PBEsol.

Calculated values
The calculation puts the total DFT energy (no corrections) at -177.22 eV for the cell shown. Its magnetization is 0.5 μB per formula unit. For the formation energy, the calculation gives 1.019 eV per atom. The energy relative to the lowest polymorph listed for this composition comes out at 537 meV/atom.

Cell lengths 5.3474, 10.2034, 2.5841 Å; angles 90.00, 90.00, 90.00 degrees
Closest atoms and distances in Å follow each position.
Space group Cmmm (No. 65)
Inequivalent atoms, fractional coordinates:
K1 0.0000 0.0000 0.0000 x2  2 K 2.58, 2 Sc 2.67
Sc1 0.0000 0.5000 0.0000 x2  2 Sc 2.58, 2 K 2.67
Tc1 0.2500 0.2500 0.5000 x4  4 Tc 2.58-2.67

=====

(12)
Density functional theory data (meta-GGA SCAN) for a crystal of KScTc2 relaxed with PBEsol.

Calculated values
The calculation puts the total DFT energy (no corrections) at -181.52 eV for the cell shown. Its magnetization is 0.3 μB per formula unit. For the formation energy, the calculation gives 0.482 eV per atom. The energy relative to the lowest polymorph listed for this composition comes out at 0 meV/atom.

Cell lengths 7.8382, 3.0586, 8.3329 Å; angles 90.00, 93.39, 90.00 degrees
Closest atoms and distances in Å follow each position.
Space group Cm (No. 8)
Inequivalent atoms, fractional coordinates:
K1 0.0000 0.0000 0.0000 x2  2 K 3.06, 1 Tc 3.27
Sc1 0.2178 0.0000 0.5907 x2  5 Tc 2.65-2.86
Tc1 0.2578 0.5000 0.3059 x2  3 Tc 2.36-2.45
Tc2 0.4834 0.0000 0.4084 x2  3 Tc 2.36-2.45

=====

Going through the records in order, we get DOS at the Fermi energy values of 0.946 1.054 0.517 1.095 1.094 0.956 0.655 0.878 0.934 0.636 0.714 0.769 states/eV per atom.